Tb2Sm4Sc3 GGA-PBE relaxed; DFT formation energy = 0.072 eV per atom; calculated volume = 30.60 Å³/atom; energy relative to the lowest polymorph listed for this composition = 0.024 eV/atom; spin magnetization = 0.0 μB per formula unit
1.0
3.513 0.000 0.000
-1.756 3.042 0.000
0.000 0.000 25.771
Tb Sm Sc
2 4 3
Cartesian
0.000 0.000 0.000 Tb
0.000 0.000 5.295 Tb
0.000 0.000 8.831 Sm
0.000 0.000 14.215 Sm
0.000 2.028 17.323 Sm
0.000 2.028 22.743 Sm
0.000 0.000 20.027 Sc
0.000 2.028 2.669 Sc
0.000 2.028 11.498 Sc